Mg4IrAu2 GGA-PBE optimized geometry; crystal system = trigonal; E_form = -472 meV/atom
1.0
-3.8232 -1.9305 1.4883
-0.0058 -2.3014 3.9067
-2.9809 4.7704 5.4370
Mg Ir Au
4 1 2
Cartesian
-4.4726 -1.8980 6.7689 Mg
-2.3373 2.4365 4.0631 Mg
-2.7684 -2.0392 4.0570 Mg
-4.0415 2.5777 6.7750 Mg
0.0000 0.0000 0.0000 Ir
-5.1127 0.4229 8.1352 Au
-1.6972 0.1155 2.6968 Au


MgIrAu2 GGA-PBE optimized geometry; crystal system = orthorhombic; E_form = -3 meV/atom
1.0
-2.6555 -0.8933 -0.4067
0.9873 -0.2978 2.6366
-3.1923 8.5079 2.1564
Au Ir Mg
2 1 1
Cartesian
-3.1480 8.3897 2.1264 Au
-1.6567 1.5966 1.6706 Au
-1.6459 4.3865 1.1118 Ir
-3.1985 5.7057 2.7121 Mg


Mg2Ir2Au GGA-PBE optimized geometry; energy relative to the lowest polymorph listed for this composition = 148 meV per atom; crystal system = tetragonal; E_form = -20 meV/atom
1.0
3.5761 0.0000 0.0000
0.0000 3.5761 0.0000
1.7880 1.7880 7.3795
Mg Ir Au
2 2 1
Cartesian
1.7880 1.7880 1.5250 Mg
3.5761 3.5761 5.8545 Mg
3.5761 1.7880 3.6898 Ir
1.7880 3.5761 3.6898 Ir
0.0000 0.0000 0.0000 Au


MgIrAu2 GGA-PBE optimized geometry; crystal system = trigonal; E_form = 58 meV/atom
1.0
9.3616 -0.0041 -0.0024
8.9121 2.8658 -0.0024
8.9121 1.3956 2.5029
Au Ir Mg
2 1 1
Cartesian
0.0532 0.0083 0.0049 Au
13.5397 2.1203 1.2442 Au
6.7965 1.0643 0.6245 Ir
20.3894 3.1930 1.8736 Mg